# 1
A geometry-optimized LiCaBe structure, computed with GGA-PBE.

a b c (Å): 4.5041 4.5041 3.7954
angles (deg): 90.00 90.00 120.00
Space group P3m1 (No. 156)
Symmetry-distinct sites (fractional):
Li (0.0000, 0.0000, 0.0000) (multiplicity 1)
Ca (0.3333, 0.6667, 0.4998) (multiplicity 1)
Be (0.6667, 0.3333, 0.9986) (multiplicity 1)

Computed properties:
formation energy	103	kJ/mol of formula units
energy relative to the lowest polymorph listed for this composition	31	meV/atom
density of states at the Fermi level	2.02	states/eV per cell

# 2
A geometry-optimized Zn7GeN6 structure, computed with GGA-PBE.

a b c (Å): 10.562 5.745 12.505
angles (deg): 90.00 90.00 90.00
Space group Pbcn (No. 60)
Symmetry-distinct sites (fractional):
Zn (0.000, 0.078, 0.250) (multiplicity 4)
Zn (0.030, 0.254, 0.042) (multiplicity 8)
Zn (0.206, 0.181, 0.574) (multiplicity 8)
Zn (0.240, 0.152, 0.844) (multiplicity 8)
Ge (0.000, 0.413, 0.750) (multiplicity 4)
N (0.070, 0.363, 0.345) (multiplicity 8)
N (0.128, 0.194, 0.716) (multiplicity 8)
N (0.176, 0.111, 0.991) (multiplicity 8)

Computed properties:
formation energy (no corrections)	124.0	meV/atom
density of states at the Fermi level	0.18	states/eV per cell

# 3
A geometry-optimized Zr4S structure, computed with GGA-PBE.

a b c (Å): 4.864 4.864 4.864
angles (deg): 90.00 90.00 90.00
Space group Pm-3m (No. 221)
Symmetry-distinct sites (fractional):
Zr (0.000, 0.000, 0.000) (multiplicity 1)
Zr (0.000, 0.500, 0.500) (multiplicity 3)
S (0.500, 0.500, 0.500) (multiplicity 1)

Computed properties:
formation energy (no corrections)	-490.0	meV/atom
density of states at the Fermi level	4.96	states/eV per cell

# 4
A geometry-optimized NaHoSn2Se4 structure, computed with GGA-PBE.

a b c (Å): 7.276 4.210 7.379
angles (deg): 90.00 108.44 90.00
Space group P2/m (No. 10)
Symmetry-distinct sites (fractional):
Na (0.000, 0.000, 0.000) (multiplicity 1)
Ho (0.500, 0.500, 0.000) (multiplicity 1)
Sn (0.000, 0.500, 0.500) (multiplicity 1)
Sn (0.500, 0.000, 0.500) (multiplicity 1)
Se (0.260, 0.500, 0.242) (multiplicity 2)
Se (0.264, 0.000, 0.766) (multiplicity 2)

Computed properties:
formation energy (no corrections)	-998.5	meV/atom

# 5
A geometry-optimized Sr6Cu3P5 structure, computed with GGA-PBE.

a b c (Å): 9.962 9.962 8.338
angles (deg): 90.00 90.00 90.00
Space group P4_2mc (No. 105)
Symmetry-distinct sites (fractional):
Sr (0.000, 0.000, 0.000) (multiplicity 2)
Sr (0.000, 0.500, 0.061) (multiplicity 2)
Sr (0.259, 0.307, 0.717) (multiplicity 8)
Cu (0.000, 0.366, 0.444) (multiplicity 4)
Cu (0.500, 0.500, 0.483) (multiplicity 2)
P (0.000, 0.220, 0.246) (multiplicity 4)
P (0.000, 0.500, 0.658) (multiplicity 2)
P (0.284, 0.500, 0.997) (multiplicity 4)

Computed properties:
formation energy	-1118	kJ/mol of formula units

# 6
A geometry-optimized Nd6Mg2Ni structure, computed with GGA-PBE.

a b c (Å): 7.100 7.011 13.289
angles (deg): 90.00 121.16 90.00
Space group P2_1/c (No. 14)
Symmetry-distinct sites (fractional):
Nd (0.173, 0.177, 0.478) (multiplicity 4)
Nd (0.305, 0.696, 0.478) (multiplicity 4)
Nd (0.325, 0.549, 0.743) (multiplicity 4)
Mg (0.183, 0.084, 0.749) (multiplicity 4)
Ni (0.000, 0.000, 0.000) (multiplicity 2)

Computed properties:
formation energy	3	kJ/mol of formula units
density of states at the Fermi level	26.40	states/eV per cell

# 7
A geometry-optimized SiPtRh structure, computed with GGA-PBE.

a b c (Å): 2.899 2.899 10.035
angles (deg): 90.00 90.00 90.00
Space group I4mm (No. 107)
Symmetry-distinct sites (fractional):
Si (0.000, 0.000, 0.000) (multiplicity 2)
Pt (0.000, 0.000, 0.349) (multiplicity 2)
Rh (0.000, 0.000, 0.634) (multiplicity 2)

Computed properties:
formation energy (no corrections)	-582.7	meV/atom
density of states at the Fermi level	4.39	states/eV per cell

# 8
A geometry-optimized BeSn structure, computed with GGA-PBE.

a b c (Å): 4.373 7.623 4.634
angles (deg): 90.00 90.00 90.00
Space group Cmme (No. 67)
Symmetry-distinct sites (fractional):
Be (0.250, 0.000, 0.000) (multiplicity 4)
Sn (0.000, 0.250, 0.290) (multiplicity 4)

Computed properties:
formation energy	55	kJ/mol of formula units
energy relative to the lowest polymorph listed for this composition	58	meV/atom
density of states at the Fermi level	1.44	states/eV per cell

# 9
A geometry-optimized LiFeSi2 structure, computed with GGA-PBE.

a b c (Å): 3.585 3.585 3.555
angles (deg): 90.00 90.00 90.00
Space group P4/mmm (No. 123)
Symmetry-distinct sites (fractional):
Li (0.000, 0.000, 0.000) (multiplicity 1)
Fe (0.500, 0.500, 0.000) (multiplicity 1)
Si (0.000, 0.500, 0.500) (multiplicity 2)

Computed properties:
energy relative to the lowest polymorph listed for this composition	196	meV/atom
formation energy (no corrections)	-55.0	meV/atom
density of states at the Fermi level	3.47	states/eV per cell

# 10
A geometry-optimized PrHo3Ir8 structure, computed with GGA-PBE.

a b c (Å): 5.3808 5.3808 8.7477
angles (deg): 90.00 90.00 120.00
Space group P3m1 (No. 156)
Symmetry-distinct sites (fractional):
Pr (0.0000, 0.0000, 0.0000) (multiplicity 1)
Ho (0.0000, 0.0000, 0.3666) (multiplicity 1)
Ho (0.6667, 0.3333, 0.4989) (multiplicity 1)
Ho (0.6667, 0.3333, 0.8628) (multiplicity 1)
Ir (0.1638, 0.3276, 0.6796) (multiplicity 3)
Ir (0.3333, 0.6667, 0.4320) (multiplicity 1)
Ir (0.3333, 0.6667, 0.9314) (multiplicity 1)
Ir (0.5033, 0.0065, 0.1855) (multiplicity 3)

Computed properties:
formation energy	-891	kJ/mol of formula units
energy relative to the lowest polymorph listed for this composition	5	meV/atom
density of states at the Fermi level	3.89	states/eV per cell

# 11
A geometry-optimized ZnTc2Mo structure, computed with GGA-PBE.

a b c (Å): 3.093 4.357 8.902
angles (deg): 90.00 90.00 90.00
Space group Cmm2 (No. 35)
Symmetry-distinct sites (fractional):
Zn (0.000, 0.000, 0.000) (multiplicity 2)
Tc (0.000, 0.000, 0.506) (multiplicity 2)
Tc (0.000, 0.500, 0.750) (multiplicity 2)
Mo (0.000, 0.500, 0.256) (multiplicity 2)

Computed properties:
formation energy	72	kJ/mol of formula units
density of states at the Fermi level	7.96	states/eV per cell

# 12
A geometry-optimized LiCaOs2 structure, computed with GGA-PBE.

a b c (Å): 5.337 9.689 2.741
angles (deg): 90.00 114.78 90.00
Space group C2/m (No. 12)
Symmetry-distinct sites (fractional):
Li (0.000, 0.000, 0.000) (multiplicity 2)
Ca (0.000, 0.500, 0.000) (multiplicity 2)
Os (0.250, 0.250, 0.500) (multiplicity 4)

Computed properties:
formation energy	171	kJ/mol of formula units
energy relative to the lowest polymorph listed for this composition	127	meV/atom
density of states at the Fermi level	5.81	states/eV per cell